LiZnTeIr | GGA-PBE | optimized geometry

Cell: 4.517 4.517 4.517 Å, 60.00 60.00 60.00°
Element x y z (fractional)
Ir 0.250 0.250 0.250
Li 0.750 0.750 0.750
Te 0.500 0.500 0.500
Zn 0.000 0.000 0.000

Summary:
E_tot: -0.2923 Ry per atom
polymorph energy (0 for the lowest one): 0.000 eV per atom

LiZnTeIr | GGA-PBE | optimized geometry

Cell: 4.542 4.542 4.542 Å, 60.00 60.00 60.00°
Element x y z (fractional)
Ir 0.000 0.000 0.000
Li 0.750 0.750 0.750
Te 0.500 0.500 0.500
Zn 0.250 0.250 0.250

Summary:
E_tot: -0.2708 Ry per atom
polymorph energy (0 for the lowest one): 0.292 eV per atom

LiThIr4 | GGA-PBE | optimized geometry

Cell: 5.326 5.326 5.326 Å, 60.00 60.00 60.00°
Element x y z (fractional)
Ir 0.626 0.626 0.123
Ir 0.626 0.123 0.626
Ir 0.123 0.626 0.626
Ir 0.626 0.626 0.626
Li 0.000 0.000 0.000
Th 0.250 0.250 0.250

Summary:
E_tot: -0.5885 Ry per atom

LiTh3Ir8 | GGA-PBE | optimized geometry

Cell: 9.353 9.353 9.353 Å, 33.54 33.54 33.54°
Element x y z (fractional)
Ir 0.188 0.188 0.188
Ir 0.941 0.436 0.436
Ir 0.436 0.941 0.436
Ir 0.939 0.939 0.439
Ir 0.688 0.688 0.688
Ir 0.939 0.439 0.939
Ir 0.439 0.939 0.939
Ir 0.436 0.436 0.941
Li 0.868 0.868 0.868
Th 0.378 0.378 0.378
Th 0.507 0.507 0.507
Th 0.992 0.992 0.992

Summary:
E_tot: -0.6341 Ry per atom

- Look up the E_tot of the fourth one.
  -0.6341 Ry per atom